# 1
This record from Alexandria describes an optimized crystal structure of ZrReAs2. The functional is PBE-GGA.

Cell lengths 4.891, 4.891, 4.797 Å; angles 75.13, 75.13, 38.85 degrees
Fractional positions:
1 Re 0.490 0.490 0.590
2 As 0.996 0.996 0.020
3 As 0.765 0.765 0.692
4 Zr 0.250 0.250 0.198

Calculated values
ΔH_f (0 K)   -0.32 eV per atom
Energy above the most stable polymorph in this dataset   0.087 eV/atom
Space-group type   Cm, No. 8
Electronic total energy   -31.57 eV/cell

***

# 2
This record from Alexandria describes an optimized crystal structure of Y4ThTl. The functional is PBE-GGA.

Cell lengths 6.361, 8.959, 8.376 Å; angles 113.79, 101.23, 110.25 degrees
Fractional positions:
1 Y 0.045 0.189 0.795
2 Y 0.765 0.707 0.627
3 Y 0.250 0.607 0.795
4 Y 0.362 0.920 0.627
5 Y 0.638 0.080 0.373
6 Y 0.750 0.393 0.205
7 Y 0.235 0.293 0.373
8 Y 0.955 0.811 0.205
9 Th 0.360 0.610 0.220
10 Th 0.640 0.390 0.780
11 Tl 0.251 0.001 0.001
12 Tl 0.749 0.999 0.999

Calculated values
ΔH_f (0 K)   -0.01 eV per atom
Space-group type   C2/c, No. 15
Electronic total energy   -71.38 eV/cell

***

# 3
This record from Alexandria describes an optimized crystal structure of InCoAu2. The functional is PBE-GGA.

Cell lengths 4.926, 4.926, 4.926 Å; angles 130.25, 130.16, 73.08 degrees
Fractional positions:
1 Au 0.000 0.000 0.000
2 Au 0.750 0.250 0.500
3 Co 0.500 0.500 0.000
4 In 0.250 0.750 0.500

Calculated values
ΔH_f (0 K)   0.11 eV per atom
Space-group type   I-4m2, No. 119
Electronic total energy   -15.94 eV/cell

***

# 4
This record from Alexandria describes an optimized crystal structure of In2IrPt. The functional is PBE-GGA.

Cell lengths 3.067, 3.067, 7.499 Å; angles 90.00, 90.00, 89.98 degrees
Fractional positions:
1 In 0.000 0.000 0.008
2 In 0.000 0.000 0.492
3 Ir 0.500 0.500 0.250
4 Pt 0.500 0.500 0.750

Calculated values
ΔH_f (0 K)   -0.22 eV per atom
Energy above the most stable polymorph in this dataset   0.000 eV/atom
Space-group type   P4/mmm, No. 123
Electronic total energy   -21.27 eV/cell

***

# 5
This record from Alexandria describes an optimized crystal structure of SiAs2SeI. The functional is PBE-GGA.

Cell lengths 5.376, 5.376, 5.291 Å; angles 90.00, 90.00, 90.00 degrees
Fractional positions:
1 I 0.000 0.000 0.000
2 As 0.000 0.500 0.000
3 As 0.500 0.000 0.000
4 Si 0.500 0.500 0.500
5 Se 0.000 0.000 0.500

Calculated values
Formation energy (no corrections)   1.4350 eV/atom
Energy above the most stable polymorph in this dataset   0.876 eV/atom
Space-group type   P4/mmm, No. 123
Electronic total energy   -12.58 eV/cell

***

# 6
This record from Alexandria describes an optimized crystal structure of CeBeRu3. The functional is PBE-GGA.

Cell lengths 4.263, 4.263, 4.263 Å; angles 90.00, 90.00, 90.00 degrees
Fractional positions:
1 Ru 0.000 0.500 0.000
2 Ru 0.000 0.000 0.500
3 Ru 0.500 0.000 0.000
4 Ce 0.500 0.500 0.500
5 Be 0.000 0.000 0.000

Calculated values
ΔH_f (0 K)   -0.10 eV per atom
Space-group type   Pm-3m, No. 221
Electronic total energy   -37.99 eV/cell